No. 1
VASP calculation (PBE) on crystalline Pr4Sm3Ag at its relaxed geometry.

```
Pr4Sm3Ag
1.0
3.696 0.000 0.000
0.000 3.696 0.000
0.000 0.000 19.467
Pr Sm Ag
4 3 1
direct
0.000 0.000 0.102 Pr
0.000 0.000 0.367 Pr
0.000 0.000 0.633 Pr
0.000 0.000 0.898 Pr
0.500 0.500 0.236 Sm
0.500 0.500 0.500 Sm
0.500 0.500 0.764 Sm
0.500 0.500 0.000 Ag
```

Space group: P4/mmm, No. 123
Mass density in g/cm3: 7.01
Formation energy from the elements in eV/f.u.: -0.33

=====

No. 2
VASP calculation (PBE) on crystalline YErInOs at its relaxed geometry.

```
YErInOs
1.0
7.105 0.000 0.000
0.000 7.105 0.000
0.000 0.000 7.105
Y Er In Os
4 4 4 4
direct
0.000 0.000 0.000 Y
0.000 0.500 0.500 Y
0.500 0.000 0.500 Y
0.500 0.500 0.000 Y
0.000 0.000 0.500 Er
0.000 0.500 0.000 Er
0.500 0.000 0.000 Er
0.500 0.500 0.500 Er
0.250 0.250 0.750 In
0.250 0.750 0.250 In
0.750 0.250 0.250 In
0.750 0.750 0.750 In
0.250 0.250 0.250 Os
0.250 0.750 0.750 Os
0.750 0.250 0.750 Os
0.750 0.750 0.250 Os
```

Space group: F-43m, No. 216
Mass density in g/cm3: 10.40
Energy relative to the lowest polymorph listed for this composition in kJ/mol of atoms: 11.3
Formation energy from the elements in eV/f.u.: -1.03

=====

No. 3
VASP calculation (PBE) on crystalline KBPb at its relaxed geometry.

```
KBPb
1.0
4.086 0.000 0.000
1.146 6.578 0.000
1.018 0.770 6.748
K B Pb
2 2 2
direct
0.000 0.000 0.000 K
0.042 0.461 0.370 K
0.568 0.216 0.666 B
0.839 0.054 0.572 B
0.361 0.496 0.835 Pb
0.391 0.892 0.488 Pb
```

Space group: P1, No. 1
Mass density in g/cm3: 4.71
Energy relative to the lowest polymorph listed for this composition in kJ/mol of atoms: 25.1
Formation energy from the elements in eV/f.u.: 1.19

=====

No. 4
VASP calculation (PBE) on crystalline Ti2VS4 at its relaxed geometry.

```
Ti2VS4
1.0
4.660 0.000 0.000
0.000 4.660 0.000
0.000 0.000 12.050
Ti V S
4 2 8
direct
0.000 0.000 0.115 Ti
0.000 0.000 0.885 Ti
0.500 0.500 0.385 Ti
0.500 0.500 0.615 Ti
0.000 0.000 0.500 V
0.500 0.500 0.000 V
0.000 0.000 0.303 S
0.000 0.000 0.697 S
0.000 0.500 0.000 S
0.000 0.500 0.500 S
0.500 0.000 0.000 S
0.500 0.000 0.500 S
0.500 0.500 0.197 S
0.500 0.500 0.803 S
```

Space group: I4/mmm, No. 139
Uncorrected formation energy in meV/atom: -577
Mass density in g/cm3: 3.49
Energy relative to the lowest polymorph listed for this composition in kJ/mol of atoms: 68.5

=====

Number 1: total energy -4.56 eV/atom. Number 2: total energy -6.51 eV/atom. Number 3: total energy -3.43 eV/atom. Number 4: total energy -6.49 eV/atom.